# 1
{"formula": "Zn2InHg", "functional": "PBE", "state": "relaxed", "magmom_total_mub_per_cell": 0.00, "delta_e_f_kj_per_mol_atoms": 10.5, "final_energy_ev_per_atom": -1.2886, "polymorph_energy_ev_per_fu": 0.08, "lattice_angstrom": [[-0.525, 1.494, -2.835], [-0.353, -2.882, -1.454], [-7.811, 0.179, 1.541]], "species": ["Zn", "Zn", "Hg", "In"], "frac_coords": [[0.000, 0.000, 0.038], [0.500, 0.500, 0.220], [0.000, 0.000, 0.467], [0.500, 0.500, 0.774]]}


# 2
{"formula": "Zn3InHg3", "functional": "PBE", "state": "relaxed", "magmom_total_mub_per_cell": 0.00, "delta_e_f_kj_per_mol_atoms": 30.7, "final_energy_ev_per_atom": -0.7484, "lattice_angstrom": [[7.484, 0.000, 0.000], [0.000, 7.484, 0.000], [0.000, 0.000, 7.484]], "species": ["In", "In", "Zn", "Zn", "Zn", "Zn", "Zn", "Zn", "Hg", "Hg", "Hg", "Hg", "Hg", "Hg"], "frac_coords": [[0.000, 0.000, 0.000], [0.500, 0.500, 0.500], [0.500, 0.250, 0.000], [0.000, 0.500, 0.250], [0.500, 0.750, 0.000], [0.750, 0.000, 0.500], [0.000, 0.500, 0.750], [0.250, 0.000, 0.500], [0.500, 0.000, 0.750], [0.750, 0.500, 0.000], [0.000, 0.250, 0.500], [0.250, 0.500, 0.000], [0.000, 0.750, 0.500], [0.500, 0.000, 0.250]]}


# 3
{"formula": "ZnIn2Hg7", "functional": "PBE", "state": "relaxed", "magmom_total_mub_per_cell": 0.00, "delta_e_f_kj_per_mol_atoms": 4.2, "final_energy_ev_per_atom": -0.8426, "lattice_angstrom": [[6.922, 0.000, 3.376], [3.259, 9.694, 2.102], [0.384, -0.586, 7.997]], "species": ["Hg", "Hg", "Hg", "Hg", "Hg", "Hg", "Hg", "Hg", "Hg", "Hg", "Hg", "Hg", "Hg", "Hg", "Zn", "Zn", "In", "In", "In", "In"], "frac_coords": [[0.670, 0.788, 0.489], [0.282, 0.894, 0.920], [0.097, 0.606, 0.580], [0.718, 0.106, 0.080], [0.279, 0.462, 0.110], [0.149, 0.962, 0.610], [0.053, 0.288, 0.989], [0.469, 0.750, 0.250], [0.903, 0.394, 0.420], [0.947, 0.712, 0.011], [0.330, 0.212, 0.511], [0.851, 0.038, 0.390], [0.721, 0.538, 0.890], [0.531, 0.250, 0.750], [0.103, 0.750, 0.250], [0.897, 0.250, 0.750], [0.566, 0.413, 0.303], [0.282, 0.087, 0.197], [0.718, 0.913, 0.803], [0.434, 0.587, 0.697]]}


# 4
{"formula": "Zn2InHg2", "functional": "PBE", "state": "relaxed", "magmom_total_mub_per_cell": 0.00, "delta_e_f_kj_per_mol_atoms": 11.5, "final_energy_ev_per_atom": -1.0585, "polymorph_energy_ev_per_fu": 0.12, "lattice_angstrom": [[8.245, 0.000, 0.000], [0.000, 8.245, 0.000], [0.000, 0.000, 3.277]], "species": ["In", "In", "Zn", "Zn", "Zn", "Zn", "Hg", "Hg", "Hg", "Hg"], "frac_coords": [[0.500, 0.500, 0.000], [0.000, 0.000, 0.000], [0.848, 0.348, 0.500], [0.152, 0.652, 0.500], [0.348, 0.152, 0.500], [0.652, 0.848, 0.500], [0.146, 0.354, 0.000], [0.854, 0.646, 0.000], [0.354, 0.854, 0.000], [0.646, 0.146, 0.000]]}


What is the formula in the fourth record? Zn2InHg2